(1)
RbYCdF6 (PBE-GGA, relaxed); M_tot = 0.00 μB per formula unit; VASP energy = -0.1955 Ha/atom; crystal system = orthorhombic
1.0
-4.0027 4.1826 5.9089
4.0027 -4.1826 5.9089
4.0027 4.1826 -5.9089
Rb Y Cd F
2 2 2 12
direct
0.3084 0.0584 0.2500
0.6916 0.9416 0.7500
0.0000 0.5000 0.5000
0.5000 0.5000 0.0000
0.0000 0.0000 0.5000
0.0000 0.5000 0.0000
0.0614 0.4156 0.2421
0.0614 0.8193 0.6458
0.0773 0.8273 0.2500
0.3108 0.5608 0.7500
0.3265 0.1807 0.7421
0.3265 0.5844 0.1458
0.6735 0.4156 0.8542
0.6735 0.8193 0.2579
0.6892 0.4392 0.2500
0.9227 0.1727 0.7500
0.9386 0.1807 0.3542
0.9386 0.5844 0.7579



(2)
Rb3ZnCd2F9 (PBE-GGA, relaxed); M_tot = 0.00 μB per formula unit; VASP energy = -0.1473 Ha/atom; crystal system = trigonal
1.0
6.2031 0.0000 0.0000
-3.1015 5.3720 0.0000
0.0000 0.0000 7.6099
Rb Zn Cd F
3 1 2 9
direct
0.0000 0.0000 0.0000
0.3333 0.6667 0.6673
0.6667 0.3333 0.3327
0.0000 0.0000 0.5000
0.3333 0.6667 0.1781
0.6667 0.3333 0.8219
0.0000 0.5000 0.0000
0.1587 0.3174 0.3439
0.1587 0.8413 0.3439
0.3174 0.1587 0.6561
0.5000 0.0000 0.0000
0.5000 0.5000 0.0000
0.6826 0.8413 0.3439
0.8413 0.1587 0.6561
0.8413 0.6826 0.6561



(3)
Rb2ZnCd3F12 (PBE-GGA, relaxed); M_tot = 1.10 μB per formula unit; VASP energy = -0.1354 Ha/atom; crystal system = trigonal
1.0
3.9403 2.2749 6.3346
-3.9403 2.2749 6.3346
0.0000 -4.5499 6.3346
Rb Zn Cd F
2 1 3 12
direct
0.1548 0.1548 0.1548
0.8452 0.8452 0.8452
0.5000 0.5000 0.5000
0.0000 0.5000 0.5000
0.5000 0.0000 0.5000
0.5000 0.5000 0.0000
0.1629 0.1629 0.5558
0.1629 0.5558 0.1629
0.2006 0.5653 0.5653
0.4347 0.4347 0.7994
0.4347 0.7994 0.4347
0.4442 0.8371 0.8371
0.5558 0.1629 0.1629
0.5653 0.2006 0.5653
0.5653 0.5653 0.2006
0.7994 0.4347 0.4347
0.8371 0.4442 0.8371
0.8371 0.8371 0.4442